# 1
The following is a DFT calculation (PBE) of an optimized crystal structure of Mn2CuPb.

Cell and atoms, written as POSCAR:
```
Mn2CuPb
1.0
-1.7108 -1.7959 -2.1865
0.8539 -2.6479 1.5067
-4.5797 -2.1908 5.3828
Cu Mn Pb
1 2 1
Direct
0.5000 0.7500 0.7500
0.0000 0.0486 0.9511
0.0000 0.4514 0.5489
0.5000 0.2500 0.2500
```

Values from the calculation:
Calculated formation energy ... 9.0 kcal/mol of atoms

# 2
The following is a DFT calculation (PBE) of an optimized crystal structure of Pm8SmHg2.

Cell and atoms, written as POSCAR:
```
Pm8SmHg2
1.0
-2.1353 -0.8286 5.2597
-5.7422 -4.6637 -4.8317
8.2202 -3.0508 1.0908
Pm Sm Hg
8 1 2
Direct
0.8943 0.9085 0.6820
0.8943 0.6820 0.9085
0.2989 0.5987 0.5987
0.5000 0.7749 0.2251
0.5000 0.2251 0.7749
0.7011 0.4013 0.4013
0.1057 0.3180 0.0915
0.1057 0.0915 0.3180
0.5000 0.0000 0.0000
0.0000 0.3058 0.6942
0.0000 0.6942 0.3058
```

Values from the calculation:
Calculated formation energy ... -1.4 kcal/mol of atoms

# 3
The following is a DFT calculation (PBE) of an optimized crystal structure of Li2In3GaHg3.

Cell and atoms, written as POSCAR:
```
Li2In3GaHg3
1.0
-2.0716 0.9707 -2.4982
3.7977 -5.3339 -5.2218
-6.6014 -2.5241 4.4933
Li In Ga Hg
2 3 1 3
Direct
0.5000 0.6667 0.3333
0.5000 0.3333 0.6667
0.5000 0.7156 0.0000
0.5000 0.0000 0.7156
0.5000 0.2844 0.2844
0.0000 0.0000 0.0000
0.0000 0.6123 0.6123
0.0000 0.0000 0.3877
0.0000 0.3877 0.0000
```

Values from the calculation:
Calculated formation energy ... -2.6 kcal/mol of atoms

# 4
The following is a DFT calculation (PBE) of an optimized crystal structure of K2LiAg.

Cell and atoms, written as POSCAR:
```
K2LiAg
1.0
-5.0752 -1.6105 2.2401
-0.6921 -3.6830 -4.3961
4.7717 -0.2919 3.2427
Ag K Li
1 2 1
Direct
0.7500 0.2500 0.5000
0.0000 0.0000 0.0000
0.2500 0.7500 0.5000
0.5000 0.5000 0.0000
```

Values from the calculation:
Calculated formation energy ... 3.4 kcal/mol of atoms
Distance to the lowest polymorph of the same formula ... 106 meV/atom

# 5
The following is a DFT calculation (PBE) of an optimized crystal structure of KY2Hg.

Cell and atoms, written as POSCAR:
```
KY2Hg
1.0
5.2600 0.0000 0.0000
0.0000 3.6609 -0.0278
0.0000 1.8656 6.9697
Hg K Y
1 1 2
Direct
0.5000 0.2500 0.2500
0.5000 0.7500 0.7500
0.0000 0.0764 0.0497
0.0000 0.4236 0.4503
```

Values from the calculation:
Calculated formation energy ... 3.6 kcal/mol of atoms

# 6
The following is a DFT calculation (PBE) of an optimized crystal structure of RbLiCl.

Cell and atoms, written as POSCAR:
```
RbLiCl
1.0
-6.5443 4.8940 1.3638
-1.5909 -2.9116 2.8142
11.4675 0.6200 7.1241
Rb Li Cl
4 4 4
Direct
0.3276 0.0000 0.6334
0.3276 0.5000 0.1334
0.6512 0.0000 0.5003
0.6512 0.5000 0.0003
0.9539 0.0000 0.8568
0.9539 0.5000 0.3568
0.0847 0.0000 0.2576
0.0847 0.5000 0.7576
0.9738 0.0000 0.0408
0.9738 0.5000 0.5408
0.7723 0.0000 0.2493
0.7723 0.5000 0.7493
```

Values from the calculation:
Energy relative to the elements, uncorrected ... -1111 meV/atom
Distance to the lowest polymorph of the same formula ... 13 meV/atom

# 7
The following is a DFT calculation (PBE) of an optimized crystal structure of RbCdSn2Pb.

Cell and atoms, written as POSCAR:
```
RbCdSn2Pb
1.0
-3.6829 -1.3731 3.6398
-0.2779 -4.9066 -2.1322
6.3038 1.2963 2.9252
Rb Cd Sn Pb
1 1 2 1
Direct
0.0000 0.0000 0.0000
0.2500 0.7500 0.5000
0.6223 0.6223 0.2446
0.3777 0.3777 0.7554
0.7500 0.2500 0.5000
```

Values from the calculation:
Calculated formation energy ... -2.7 kcal/mol of atoms

# 8
The following is a DFT calculation (PBE) of an optimized crystal structure of Ho2TiGe4Pt3.

Cell and atoms, written as POSCAR:
```
Ho2TiGe4Pt3
1.0
-3.5286 -1.3315 1.6162
1.2810 -3.8777 -0.3978
4.5141 0.4428 10.2201
Ho Ti Ge Pt
2 1 4 3
Direct
0.5000 0.0000 0.2506
0.0000 0.5000 0.7494
0.5000 0.5000 0.5000
0.5000 0.5000 0.0000
0.0000 0.0000 0.0000
0.5000 0.0000 0.6417
0.0000 0.5000 0.3583
0.0000 0.0000 0.5000
0.5000 0.0000 0.8623
0.0000 0.5000 0.1377
```

Values from the calculation:
Calculated formation energy ... -19.8 kcal/mol of atoms

# 9
The following is a DFT calculation (PBE) of an optimized crystal structure of ScTe4W.

Cell and atoms, written as POSCAR:
```
ScTe4W
1.0
4.8094 -0.2079 3.8930
0.2474 -4.3643 4.3841
4.1342 -4.5883 -0.4296
Sc Te W
1 4 1
Direct
0.0000 0.0000 0.0000
0.8739 0.3754 0.3754
0.3754 0.3754 0.8739
0.3754 0.8739 0.3754
0.3754 0.3754 0.3754
0.7500 0.7500 0.7500
```

Values from the calculation:
Energy relative to the elements, uncorrected ... 1132 meV/atom

# 10
The following is a DFT calculation (PBE) of an optimized crystal structure of Ba2CeCdAu6.

Cell and atoms, written as POSCAR:
```
Ba2CeCdAu6
1.0
-4.9535 4.1337 4.3455
4.0443 -1.8593 6.3792
2.6770 5.6073 4.6799
Ba Ce Cd Au
2 1 1 6
Direct
0.2500 0.7500 0.5000
0.7500 0.2500 0.5000
0.5000 0.5000 0.0000
0.0000 0.0000 0.0000
0.2452 0.7548 0.0000
0.7548 0.7548 0.0000
0.2452 0.2452 0.5096
0.7548 0.2452 0.0000
0.2452 0.2452 0.0000
0.7548 0.7548 0.4904
```

Values from the calculation:
Calculated formation energy ... -6.4 kcal/mol of atoms

# 11
The following is a DFT calculation (PBE) of an optimized crystal structure of La2ZnMo.

Cell and atoms, written as POSCAR:
```
La2ZnMo
1.0
-1.0664 -0.8408 -3.3813
3.4658 -0.1147 -1.0645
3.7671 -7.6164 0.7058
La Mo Zn
2 1 1
Direct
0.0000 0.9813 0.0188
0.0000 0.5187 0.4812
0.5000 0.2500 0.2500
0.5000 0.7500 0.7500
```

Values from the calculation:
Calculated formation energy ... 4.4 kcal/mol of atoms

# 12
The following is a DFT calculation (PBE) of an optimized crystal structure of CsB2PbCl8.

Cell and atoms, written as POSCAR:
```
CsB2PbCl8
1.0
-6.2817 1.9520 -0.5977
-4.1079 -0.4671 5.1511
-0.9512 9.4406 4.3323
Cs B Pb Cl
1 2 1 8
Direct
0.5000 0.5000 0.5000
0.2505 0.2505 0.2484
0.7495 0.7495 0.7516
0.0000 0.0000 0.0000
0.1867 0.1867 0.4398
0.4864 0.3560 0.1838
0.8133 0.8133 0.5602
0.9738 0.4864 0.1838
0.0262 0.5136 0.8162
0.3560 0.9738 0.1838
0.6440 0.0262 0.8162
0.5136 0.6440 0.8162
```

Values from the calculation:
Energy relative to the elements, uncorrected ... -1007 meV/atom

Table of total DFT energy (no corrections) (eV/atom), in record order: -6.15; -4.00; -1.89; -1.59; -3.43; -2.69; -2.84; -6.22; -4.18; -3.31; -5.30; -3.73